# 1
Ca2AgGe4Pt3 | PBE | relaxed

Cell lengths 4.370, 4.370, 10.306 Å; angles 90.00, 90.00, 90.00 degrees
Space group P-4m2 (No. 115)
Asymmetric unit:
Ca: 0.000 0.500 0.247 (multiplicity 2)
Ag: 0.000 0.000 0.500 (multiplicity 1)
Ge: 0.000 0.000 0.000 (multiplicity 1)
Ge: 0.000 0.500 0.636 (multiplicity 2)
Ge: 0.500 0.500 0.000 (multiplicity 1)
Pt: 0.000 0.500 0.876 (multiplicity 2)
Pt: 0.500 0.500 0.500 (multiplicity 1)

Calculated density   8.98 g/cm³
Total DFT energy (no corrections)   -50.1 eV/cell
Formation energy   -667 meV/atom
DOS(E_F)   3.84 states/eV/cell

***

# 2
CaAgGe2Pt5 | PBE | relaxed

Cell lengths 4.141, 4.141, 9.329 Å; angles 90.00, 90.00, 90.00 degrees
Space group P4/mmm (No. 123)
Asymmetric unit:
Ca: 0.000 0.000 0.000 (multiplicity 1)
Ag: 0.000 0.000 0.500 (multiplicity 1)
Ge: 0.500 0.500 0.369 (multiplicity 2)
Pt: 0.000 0.500 0.228 (multiplicity 4)
Pt: 0.500 0.500 0.000 (multiplicity 1)

Calculated density   13.17 g/cm³
Total DFT energy (no corrections)   -48.2 eV/cell
Formation energy   -438 meV/atom
DOS(E_F)   2.82 states/eV/cell

***

# 3
CaPuAgGe | PBE | relaxed

Cell lengths 7.285, 7.285, 7.285 Å; angles 90.00, 90.00, 90.00 degrees
Space group F-43m (No. 216)
Asymmetric unit:
Ca: 0.000 0.000 0.000 (multiplicity 4)
Pu: 0.000 0.000 0.500 (multiplicity 4)
Ag: 0.250 0.250 0.750 (multiplicity 4)
Ge: 0.250 0.250 0.250 (multiplicity 4)

Calculated density   7.98 g/cm³
Total DFT energy (no corrections)   -100.0 eV/cell
Formation energy   -297 meV/atom
DOS(E_F)   42.41 states/eV/cell

***

# 4
RbCa2AgGe | PBE | relaxed

Cell lengths 5.712, 5.712, 6.684 Å; angles 90.00, 90.00, 90.00 degrees
Space group P4/mmm (No. 123)
Asymmetric unit:
Rb: 0.000 0.000 0.000 (multiplicity 1)
Ca: 0.000 0.500 0.500 (multiplicity 2)
Ag: 0.500 0.500 0.000 (multiplicity 1)
Ge: 0.000 0.000 0.500 (multiplicity 1)

Calculated density   2.64 g/cm³
Total DFT energy (no corrections)   -12.2 eV/cell
Formation energy   40 meV/atom
DOS(E_F)   2.00 states/eV/cell